Entry 1:
First-principles (PBE) data for a relaxed structure of RbV2SnPt, as listed in Alexandria via LeMat-Bulk.

```
RbV2SnPt
1.0
-4.4200 -0.1224 2.7073
-1.6384 -3.9787 -2.8548
2.1537 -3.3026 3.3668
V Pt Rb Sn
2 1 1 1
Direct
0.0000 0.0000 0.5000 V
0.5000 0.0000 0.0000 V
0.0000 0.0000 0.0000 Pt
0.5000 0.5000 0.5000 Rb
0.0000 0.5000 0.0000 Sn
```

Results
Its total magnetization is 1.363 μB per atom. Its formation energy is 0.6883 eV per atom.

---

Entry 2:
First-principles (PBE) data for a relaxed structure of ZrSb2Ir, as listed in Alexandria via LeMat-Bulk.

```
ZrSb2Ir
1.0
3.5777 0.0000 0.0000
0.0000 4.7384 0.0000
0.0000 0.0000 4.7384
Sb Ir Zr
2 1 1
Direct
0.0000 0.5000 0.5000 Sb
0.0000 0.0000 0.0000 Sb
0.5000 0.0000 0.5000 Ir
0.5000 0.5000 0.0000 Zr
```

Results
Its energy relative to the lowest polymorph listed for this composition is 8.7 kJ per mole of atoms. As for the uncorrected formation energy: -0.28 eV/atom. Its total magnetization is 0.000 μB per atom.

---

Entry 3:
First-principles (PBE) data for a relaxed structure of RbGaPb, as listed in Alexandria via LeMat-Bulk.

```
RbGaPb
1.0
8.2645 0.0000 0.0000
0.0000 3.2470 -4.0819
0.0000 3.2470 4.0819
Ga Rb Pb
2 2 2
Direct
0.1926 0.5636 0.9364 Ga
0.8074 0.0636 0.4364 Ga
0.5000 0.5332 0.4668 Rb
0.5000 0.0332 0.9668 Rb
0.1108 0.9249 0.5751 Pb
0.8892 0.4249 0.0751 Pb
```

Results
Its total magnetization is 0.000 μB per atom. Its formation energy is 0.1725 eV per atom.

---

Entry 4:
First-principles (PBE) data for a relaxed structure of RbNi2As, as listed in Alexandria via LeMat-Bulk.

```
RbNi2As
1.0
4.0999 0.0000 0.0000
2.0500 3.5506 0.0000
2.0500 1.1835 6.1124
Ni Rb As
2 1 1
Direct
0.1820 0.1820 0.4540 Ni
0.8180 0.8180 0.5460 Ni
0.0000 0.0000 0.0000 Rb
0.5000 0.5000 0.5000 As
```

Results
Its total magnetization is 0.000 μB per atom. Its formation energy is -0.1806 eV per atom.